Entry from the Alexandria database: an optimized crystal structure of SrMg2I (GGA-PBE).

M_tot (μB/f.u.): 0.00
Polymorph energy (0 for the lowest one) (meV per atom): 0
Symmetry: No. 122
Total energy (eV per atom): -1.84

Geometry as POSCAR:
```
SrMg2I
1.0
-1.192 -3.771 -8.596
-8.480 -3.283 2.616
-6.226 -0.754 -4.014
Sr Mg I
2 4 2
Cartesian
-9.771 -3.782 -2.194 Sr
-4.836 -3.527 -2.990 Sr
-8.107 -3.138 -5.311 Mg
-3.388 -3.040 -6.241 Mg
-6.979 -2.628 -0.251 Mg
-13.322 -6.812 -8.184 Mg
-6.127 -4.026 -7.800 I
0.000 0.000 0.000 I
```